Entry 1:
Computed, not measured: a relaxed LiPtW2 crystal at the PBE-GGA level of DFT.

Cell: 3.0982 4.2385 4.5662 Å, 90.00 90.00 90.00°
Positions (direct):
Li: 0.0000 0.0000 0.0000
Pt: 0.5000 0.5000 0.0000
W: 0.0000 0.5000 0.5000
W: 0.5000 0.0000 0.5000

Values from the calculation:
The total energy comes out at -8.373 eV per atom. As for the symmetry: Pmmm. Its magnetic moment is 0.00 μB/f.u. The value obtained for the calculated formation energy is 0.09 eV/atom.

---

Entry 2:
Computed, not measured: a relaxed RbLaBr2 crystal at the PBE-GGA level of DFT.

Cell: 11.2205 11.2205 11.2205 Å, 21.08 21.08 21.08°
Positions (direct):
Rb: 0.0000 0.0000 0.0000
La: 0.5000 0.5000 0.5000
Br: 0.1051 0.1051 0.1051
Br: 0.8949 0.8949 0.8949

Values from the calculation:
The total energy comes out at -3.604 eV per atom. As for the symmetry: R-3m. The value obtained for the raw formation energy is -1.29 eV/atom. Its magnetic moment is 0.49 μB/f.u.

---

Entry 3:
Computed, not measured: a relaxed In2OsW crystal at the PBE-GGA level of DFT.

Cell: 4.7338 4.7338 3.1603 Å, 90.00 90.00 90.00°
Positions (direct):
In: 0.0000 0.5000 0.0000
In: 0.5000 0.0000 0.0000
Os: 0.0000 0.0000 0.5000
W: 0.5000 0.5000 0.5000

Values from the calculation:
The total energy comes out at -6.612 eV per atom. As for the symmetry: P4/mmm. Its magnetic moment is 0.00 μB/f.u. The value obtained for the calculated formation energy is 0.80 eV/atom.

---

Entry 4:
Computed, not measured: a relaxed MnBe2Fe crystal at the PBE-GGA level of DFT.

Cell: 4.7687 4.7687 4.7687 Å, 104.38 104.38 120.23°
Positions (direct):
Mn: 0.0000 0.0000 0.0000
Mn: 0.7500 0.2500 0.5000
Be: 0.1315 0.1250 0.5065
Be: 0.3750 0.8685 0.9935
Be: 0.6185 0.6250 0.4935
Be: 0.8750 0.3815 0.0065
Fe: 0.2500 0.7500 0.5000
Fe: 0.5000 0.5000 0.0000

Values from the calculation:
The total energy comes out at -5.946 eV per atom. As for the symmetry: I-42d. Its magnetic moment is 3.52 μB/f.u. The value obtained for the calculated formation energy is 0.33 eV/atom.

---

Entry 5:
Computed, not measured: a relaxed Nd3Al5O12 crystal at the PBE-GGA level of DFT.

Cell: 10.7005 10.7005 10.7005 Å, 109.47 109.47 109.47°
Positions (direct):
Nd: 0.1250 0.2500 0.3750
Nd: 0.1250 0.3750 0.7500
Nd: 0.2500 0.3750 0.1250
Nd: 0.2500 0.8750 0.6250
Nd: 0.3750 0.1250 0.2500
Nd: 0.3750 0.7500 0.1250
Nd: 0.6250 0.2500 0.8750
Nd: 0.6250 0.8750 0.7500
Nd: 0.7500 0.1250 0.3750
Nd: 0.7500 0.6250 0.8750
Nd: 0.8750 0.6250 0.2500
Nd: 0.8750 0.7500 0.6250
Al: 0.0000 0.0000 0.0000
Al: 0.0000 0.0000 0.5000
Al: 0.0000 0.5000 0.0000
Al: 0.0000 0.5000 0.5000
Al: 0.1250 0.7500 0.8750
Al: 0.1250 0.8750 0.2500
Al: 0.2500 0.1250 0.8750
Al: 0.2500 0.6250 0.3750
Al: 0.3750 0.2500 0.6250
Al: 0.3750 0.6250 0.7500
Al: 0.5000 0.0000 0.0000
Al: 0.5000 0.0000 0.5000
Al: 0.5000 0.5000 0.0000
Al: 0.5000 0.5000 0.5000
Al: 0.6250 0.3750 0.2500
Al: 0.6250 0.7500 0.3750
Al: 0.7500 0.3750 0.6250
Al: 0.7500 0.8750 0.1250
Al: 0.8750 0.1250 0.7500
Al: 0.8750 0.2500 0.1250
O: 0.0144 0.1949 0.1149
O: 0.0144 0.3194 0.8995
O: 0.0800 0.6949 0.6806
O: 0.0800 0.8851 0.3995
O: 0.1005 0.6149 0.4200
O: 0.1005 0.9856 0.6806
O: 0.1149 0.0144 0.1949
O: 0.1149 0.6005 0.9200
O: 0.1806 0.1949 0.5800
O: 0.1806 0.4856 0.6005
O: 0.1949 0.1149 0.0144
O: 0.1949 0.5800 0.1806
O: 0.3051 0.3194 0.9200
O: 0.3051 0.4856 0.3851
O: 0.3194 0.8995 0.0144
O: 0.3194 0.9200 0.3051
O: 0.3851 0.3051 0.4856
O: 0.3851 0.5800 0.8995
O: 0.3995 0.0800 0.8851
O: 0.3995 0.8194 0.5144
O: 0.4200 0.1005 0.6149
O: 0.4200 0.8194 0.8051
O: 0.4856 0.3851 0.3051
O: 0.4856 0.6005 0.1806
O: 0.5144 0.3995 0.8194
O: 0.5144 0.6149 0.6949
O: 0.5800 0.1806 0.1949
O: 0.5800 0.8995 0.3851
O: 0.6005 0.1806 0.4856
O: 0.6005 0.9200 0.1149
O: 0.6149 0.4200 0.1005
O: 0.6149 0.6949 0.5144
O: 0.6806 0.0800 0.6949
O: 0.6806 0.1005 0.9856
O: 0.6949 0.5144 0.6149
O: 0.6949 0.6806 0.0800
O: 0.8051 0.4200 0.8194
O: 0.8051 0.8851 0.9856
O: 0.8194 0.5144 0.3995
O: 0.8194 0.8051 0.4200
O: 0.8851 0.3995 0.0800
O: 0.8851 0.9856 0.8051
O: 0.8995 0.0144 0.3194
O: 0.8995 0.3851 0.5800
O: 0.9200 0.1149 0.6005
O: 0.9200 0.3051 0.3194
O: 0.9856 0.6806 0.1005
O: 0.9856 0.8051 0.8851

Values from the calculation:
The total energy comes out at -7.815 eV per atom. As for the symmetry: Ia-3d. The value obtained for the raw formation energy is -3.19 eV/atom. Its magnetic moment is 0.00 μB/f.u.

---

Entry 6:
Computed, not measured: a relaxed Cs2K5Rb12 crystal at the PBE-GGA level of DFT.

Cell: 12.9382 12.9382 15.7582 Å, 105.29 105.29 43.68°
Positions (direct):
Cs: 0.2467 0.7533 0.0000
Cs: 0.7533 0.2467 0.0000
K: 0.1151 0.1151 0.8128
K: 0.3850 0.3850 0.6962
K: 0.5000 0.5000 0.5000
K: 0.6150 0.6150 0.3038
K: 0.8849 0.8849 0.1872
Rb: 0.0433 0.5502 0.8908
Rb: 0.0636 0.5599 0.4076
Rb: 0.0876 0.0876 0.3180
Rb: 0.3994 0.3994 0.1952
Rb: 0.4401 0.9364 0.5924
Rb: 0.4498 0.9567 0.1092
Rb: 0.5502 0.0433 0.8908
Rb: 0.5599 0.0636 0.4076
Rb: 0.6006 0.6006 0.8048
Rb: 0.9124 0.9124 0.6820
Rb: 0.9364 0.4401 0.5924
Rb: 0.9567 0.4498 0.1092

Values from the calculation:
The total energy comes out at -0.956 eV per atom. As for the symmetry: C2/m. Its magnetic moment is 0.00 μB/f.u. The value obtained for the calculated formation energy is 0.03 eV/atom.

---

Entry 7:
Computed, not measured: a relaxed HoFeC crystal at the PBE-GGA level of DFT.

Cell: 3.4065 3.4065 4.0120 Å, 90.00 90.00 120.00°
Positions (direct):
Ho: 0.0000 0.0000 0.0000
Fe: 0.6667 0.3333 0.5000
C: 0.3333 0.6667 0.5000

Values from the calculation:
The total energy comes out at -7.464 eV per atom. As for the symmetry: P-6m2. Its magnetic moment is 0.02 μB/f.u. The value obtained for the calculated formation energy is -0.04 eV/atom.

---

Entry 8:
Computed, not measured: a relaxed Pa3Al4Si2 crystal at the PBE-GGA level of DFT.

Cell: 6.7772 6.7772 4.4045 Å, 90.00 90.00 120.00°
Positions (direct):
Pa: 0.0000 0.5665 0.0000
Pa: 0.4335 0.4335 0.0000
Pa: 0.5665 0.0000 0.0000
Al: 0.0000 0.0000 0.0000
Al: 0.0000 0.2411 0.5000
Al: 0.2411 0.0000 0.5000
Al: 0.7589 0.7589 0.5000
Si: 0.3333 0.6667 0.5000
Si: 0.6667 0.3333 0.5000

Values from the calculation:
The total energy comes out at -6.365 eV per atom. As for the symmetry: P-62m. The value obtained for the raw formation energy is -0.33 eV/atom. Its magnetic moment is 0.00 μB/f.u.